Computed, not measured: a geometry-optimized SnI2NF structure at the PBE-GGA level of DFT.

* formation energy without anion corrections: 382 kJ/mol of formula units
* E above lowest polymorph: 239 meV/atom
* calculated volume: 136.9 Å³/cell
* SG: P4/mmm

Cell lengths 6.1810, 6.1810, 3.5843 Å; angles 90.00, 90.00, 90.00 degrees
Site moments in Bohr magnetons follow the coordinates.
Element x y z (fractional)
I  0.0000  0.5000  0.0000  0.04
I  0.5000  0.0000  0.0000  0.04
N  0.0000  0.0000  0.5000  1.39
Sn  0.5000  0.5000  0.5000  0.00
F  0.0000  0.0000  0.0000  0.04



Computed, not measured: a geometry-optimized SnIN2F structure at the PBE-GGA level of DFT.

* formation energy without anion corrections: 465 kJ/mol of formula units
* E above lowest polymorph: 345 meV/atom
* calculated volume: 80.7 Å³/cell
* SG: P4/mmm

Cell lengths 4.2214, 4.2214, 4.5259 Å; angles 90.00, 90.00, 90.00 degrees
Element x y z (fractional)
I  0.0000  0.0000  0.0000
N  0.0000  0.5000  0.0000
N  0.5000  0.0000  0.0000
Sn  0.5000  0.5000  0.5000
F  0.0000  0.0000  0.5000



Computed, not measured: a geometry-optimized SnINF2 structure at the PBE-GGA level of DFT.

* formation energy without anion corrections: 57 kJ/mol of formula units
* E above lowest polymorph: 601 meV/atom
* calculated volume: 99.1 Å³/cell
* SG: P4/mmm

Cell lengths 4.9129, 4.9129, 4.1043 Å; angles 90.00, 90.00, 90.00 degrees
Element x y z (fractional)
I  0.0000  0.0000  0.0000
N  0.0000  0.0000  0.5000
Sn  0.5000  0.5000  0.5000
F  0.0000  0.5000  0.0000
F  0.5000  0.0000  0.0000



Computed, not measured: a geometry-optimized SnIN2F structure at the PBE-GGA level of DFT.

* formation energy without anion corrections: 542 kJ/mol of formula units
* E above lowest polymorph: 504 meV/atom
* calculated volume: 105.7 Å³/cell
* SG: P4/mmm

Cell lengths 4.1503, 4.1503, 6.1381 Å; angles 90.00, 90.00, 90.00 degrees
Site moments in Bohr magnetons follow the coordinates.
Element x y z (fractional)
I  0.0000  0.0000  0.5000  -0.27
N  0.0000  0.5000  0.0000  0.94
N  0.5000  0.0000  0.0000  0.94
Sn  0.0000  0.0000  0.0000  -0.09
F  0.5000  0.5000  0.5000  -0.34



Computed, not measured: a geometry-optimized SnIN2F structure at the PBE-GGA level of DFT.

* formation energy without anion corrections: 298 kJ/mol of formula units
* E above lowest polymorph: 0 meV/atom
* calculated volume: 75.7 Å³/cell
* SG: P4/mmm

Cell lengths 4.2717, 4.2717, 4.1503 Å; angles 90.00, 90.00, 90.00 degrees
Element x y z (fractional)
I  0.5000  0.5000  0.5000
N  0.0000  0.5000  0.0000
N  0.5000  0.0000  0.0000
Sn  0.0000  0.0000  0.0000
F  0.0000  0.0000  0.5000



Computed, not measured: a geometry-optimized SrI2NF structure at the PBE-GGA level of DFT.

* formation energy without anion corrections: 92 kJ/mol of formula units
* E above lowest polymorph: 141 meV/atom
* calculated volume: 211.8 Å³/cell
* SG: P4/mmm

Cell lengths 6.4326, 6.4326, 5.1176 Å; angles 90.00, 90.00, 90.00 degrees
Site moments in Bohr magnetons follow the coordinates.
Element x y z (fractional)
I  0.0000  0.5000  0.0000  0.34
I  0.5000  0.0000  0.0000  0.34
Sr  0.0000  0.0000  0.0000  0.01
N  0.0000  0.0000  0.5000  1.53
F  0.5000  0.5000  0.5000  0.50



Computed, not measured: a geometry-optimized SrI2NF structure at the PBE-GGA level of DFT.

* formation energy without anion corrections: 23 kJ/mol of formula units
* E above lowest polymorph: 0 meV/atom
* calculated volume: 139.6 Å³/cell
* SG: P4/mmm

Cell lengths 5.8682, 5.8682, 4.0554 Å; angles 90.00, 90.00, 90.00 degrees
Site moments in Bohr magnetons follow the coordinates.
Element x y z (fractional)
I  0.0000  0.5000  0.0000  0.04
I  0.5000  0.0000  0.0000  0.04
Sr  0.5000  0.5000  0.5000  0.00
N  0.0000  0.0000  0.5000  1.55
F  0.0000  0.0000  0.0000  -0.04



Computed, not measured: a geometry-optimized TaINF2 structure at the PBE-GGA level of DFT.

* formation energy without anion corrections: -489 kJ/mol of formula units
* E above lowest polymorph: 0 meV/atom
* calculated volume: 75.1 Å³/cell
* SG: P4/mmm

Cell lengths 4.2600, 4.2600, 4.1367 Å; angles 90.00, 90.00, 90.00 degrees
Element x y z (fractional)
I  0.5000  0.5000  0.5000
N  0.0000  0.0000  0.5000
F  0.0000  0.5000  0.0000
F  0.5000  0.0000  0.0000
Ta  0.0000  0.0000  0.0000



Computed, not measured: a geometry-optimized TaIN2F structure at the PBE-GGA level of DFT.

* formation energy without anion corrections: -85 kJ/mol of formula units
* E above lowest polymorph: 0 meV/atom
* calculated volume: 72.7 Å³/cell
* SG: P4/mmm

Cell lengths 4.1761, 4.1761, 4.1691 Å; angles 90.00, 90.00, 90.00 degrees
Element x y z (fractional)
I  0.5000  0.5000  0.5000
N  0.0000  0.5000  0.0000
N  0.5000  0.0000  0.0000
F  0.0000  0.0000  0.5000
Ta  0.0000  0.0000  0.0000



Computed, not measured: a geometry-optimized TaIN2F structure at the PBE-GGA level of DFT.

* formation energy without anion corrections: 75 kJ/mol of formula units
* E above lowest polymorph: 331 meV/atom
* calculated volume: 91.9 Å³/cell
* SG: P4/mmm

Cell lengths 3.9734, 3.9734, 5.8199 Å; angles 90.00, 90.00, 90.00 degrees
Element x y z (fractional)
I  0.0000  0.0000  0.5000
N  0.0000  0.5000  0.0000
N  0.5000  0.0000  0.0000
F  0.5000  0.5000  0.5000
Ta  0.0000  0.0000  0.0000



Computed, not measured: a geometry-optimized TaINF2 structure at the PBE-GGA level of DFT.

* formation energy without anion corrections: 570 kJ/mol of formula units
* E above lowest polymorph: 2195 meV/atom
* calculated volume: 92.7 Å³/cell
* SG: P4/mmm

Cell lengths 4.7685, 4.7685, 4.0780 Å; angles 90.00, 90.00, 90.00 degrees
Site moments in Bohr magnetons follow the coordinates.
Element x y z (fractional)
I  0.0000  0.0000  0.0000  0.06
N  0.0000  0.0000  0.5000  -0.07
F  0.0000  0.5000  0.0000  0.07
F  0.5000  0.0000  0.0000  0.07
Ta  0.5000  0.5000  0.5000  2.30



Computed, not measured: a geometry-optimized TaIN2F structure at the PBE-GGA level of DFT.

* formation energy without anion corrections: 869 kJ/mol of formula units
* E above lowest polymorph: 1976 meV/atom
* calculated volume: 76.5 Å³/cell
* SG: P4/mmm

Cell lengths 4.2638, 4.2638, 4.2096 Å; angles 90.00, 90.00, 90.00 degrees
Site moments in Bohr magnetons follow the coordinates.
Element x y z (fractional)
I  0.0000  0.0000  0.0000  0.01
N  0.0000  0.5000  0.0000  -0.10
N  0.5000  0.0000  0.0000  -0.10
F  0.0000  0.0000  0.5000  0.06
Ta  0.5000  0.5000  0.5000  1.92



Computed, not measured: a geometry-optimized TaIN2F structure at the PBE-GGA level of DFT.

* formation energy without anion corrections: 1018 kJ/mol of formula units
* E above lowest polymorph: 2285 meV/atom
* calculated volume: 71.2 Å³/cell
* SG: P4/mmm

Cell lengths 4.1902, 4.1902, 4.0554 Å; angles 90.00, 90.00, 90.00 degrees
Site moments in Bohr magnetons follow the coordinates.
Element x y z (fractional)
I  0.0000  0.0000  0.5000  0.01
N  0.0000  0.5000  0.0000  0.32
N  0.5000  0.0000  0.0000  0.32
F  0.0000  0.0000  0.0000  0.01
Ta  0.5000  0.5000  0.5000  -0.90



Computed, not measured: a geometry-optimized TcINF2 structure at the PBE-GGA level of DFT.

* formation energy without anion corrections: 438 kJ/mol of formula units
* E above lowest polymorph: 1168 meV/atom
* calculated volume: 95.0 Å³/cell
* SG: P4/mmm

Cell lengths 4.8385, 4.8385, 4.0571 Å; angles 90.00, 90.00, 90.00 degrees
Site moments in Bohr magnetons follow the coordinates.
Element x y z (fractional)
I  0.0000  0.0000  0.0000  0.03
N  0.0000  0.0000  0.5000  0.03
Tc  0.5000  0.5000  0.5000  3.90
F  0.0000  0.5000  0.0000  0.02
F  0.5000  0.0000  0.0000  0.02